18
Lattice="-4.636 4.847 5.020 4.636 -4.847 5.020 4.636 4.847 -5.020" Properties=species:S:1:pos:R:3 comment="Dy6Ni2Hg (PBE-GGA, optimized geometry)" magmom_total_mub_per_fu=0.0 formation_energy_mev_per_atom=-335 pbc="T T T"
Dy 4.636 2.912 -2.673
Dy 2.699 1.765 0.000
Dy 6.574 1.765 0.000
Dy 1.789 4.847 -1.754
Dy 2.847 0.000 3.266
Dy 0.000 1.935 2.347
Dy 4.636 2.912 2.673
Dy 1.789 4.847 1.754
Dy 2.847 0.000 6.774
Dy -1.937 3.082 5.020
Dy 1.937 3.082 5.020
Dy 0.000 1.935 7.693
Ni 4.636 0.000 1.233
Ni 0.000 3.449 0.000
Ni 0.000 6.245 0.000
Ni 0.000 4.847 3.787
Hg 0.000 0.000 0.000
Hg 0.000 0.000 5.020